[1]
Compound: MnP3
Source: Alexandria via LeMat-Bulk
Functional: PBE
Structure: optimized geometry

Calculated values
Final energy in eV/atom: -6.401
Formation energy in eV per atom: -0.052
SG: Pmm2 (25)
Calculated density in Mg/m³: 4.2

The structure in POSCAR format:
```
MnP3
1.0
2.678 0.000 0.000
0.000 3.274 0.000
0.000 0.000 6.604
Mn P
1 3
Cartesian
0.000 0.000 0.000 Mn
1.339 0.000 1.764 P
1.339 1.637 3.284 P
1.339 1.637 5.684 P
```

***

[2]
Compound: BaMgCd2
Source: Alexandria via LeMat-Bulk
Functional: PBE
Structure: optimized geometry

Calculated values
Final energy in eV/atom: -1.522
Formation energy in eV per atom: -0.185
SG: Cm (8)
Calculated density in Mg/m³: 4.9

The structure in POSCAR format:
```
BaMgCd2
1.0
8.617 0.000 0.000
0.000 4.985 0.000
-2.886 0.000 6.053
Ba Mg Cd
2 2 4
Cartesian
0.000 0.000 0.000 Ba
4.308 2.493 0.000 Ba
1.431 2.493 2.464 Mg
5.739 0.000 2.464 Mg
-0.007 0.000 3.679 Cd
2.866 0.000 2.923 Cd
4.302 2.493 3.679 Cd
7.175 2.493 2.923 Cd
```

***

[3]
Compound: K2FeCl5
Source: Alexandria via LeMat-Bulk
Functional: PBE
Structure: optimized geometry

Calculated values
Final energy in eV/atom: -3.786
SG: Cmcm (63)
Raw formation energy in meV per atom: -1300
Calculated density in Mg/m³: 1.9

The structure in POSCAR format:
```
K2FeCl5
1.0
2.608 -7.753 0.000
2.608 7.753 0.000
0.000 0.000 13.563
K Fe Cl
4 2 10
Cartesian
2.608 5.463 7.778 K
2.608 5.463 12.566 K
2.608 -5.463 0.996 K
2.608 -5.463 5.785 K
2.608 5.378 3.391 Fe
2.608 -5.378 10.172 Fe
2.608 6.995 1.740 Cl
2.608 6.995 5.042 Cl
2.608 3.656 1.683 Cl
2.608 3.656 5.099 Cl
2.608 2.684 10.172 Cl
2.608 -2.684 3.391 Cl
2.608 -3.656 8.464 Cl
2.608 -3.656 11.880 Cl
2.608 -6.995 8.521 Cl
2.608 -6.995 11.823 Cl
```